# 1
Below is an optimized crystal structure of Ca2CuNi4As3, with properties calculated at the GGA-PBE level.

a = 4.093 Å, b = 4.093 Å, c = 9.620 Å
α = 90.00°, β = 90.00°, γ = 90.00°
Sites, in units of the cell vectors:
Ca 0.000 0.500 0.248
Ca 0.500 0.000 0.752
Cu 0.500 0.500 0.000
Ni 0.000 0.000 0.500
Ni 0.000 0.500 0.874
Ni 0.500 0.000 0.126
Ni 0.500 0.500 0.500
As 0.000 0.000 0.000
As 0.000 0.500 0.632
As 0.500 0.000 0.368

Output
For the calculated formation energy, the calculation gives -13.60 kcal/mol of atoms.

=====

# 2
Below is an optimized crystal structure of Ca2Cu3NiAs4, with properties calculated at the GGA-PBE level.

a = 4.207 Å, b = 4.207 Å, c = 10.026 Å
α = 90.00°, β = 90.00°, γ = 90.00°
Sites, in units of the cell vectors:
Ca 0.000 0.500 0.242
Ca 0.500 0.000 0.758
Cu 0.000 0.000 0.000
Cu 0.000 0.500 0.634
Cu 0.500 0.000 0.366
Ni 0.500 0.500 0.000
As 0.000 0.000 0.500
As 0.000 0.500 0.872
As 0.500 0.000 0.128
As 0.500 0.500 0.500

Output
For the calculated formation energy, the calculation gives -11.94 kcal/mol of atoms.

=====

# 3
Below is an optimized crystal structure of CaCuAsO5, with properties calculated at the GGA-PBE level.

a = 5.697 Å, b = 7.754 Å, c = 9.618 Å
α = 90.00°, β = 90.00°, γ = 90.00°
Sites, in units of the cell vectors:
Ca 0.018 0.207 0.172
Ca 0.482 0.793 0.672
Ca 0.518 0.293 0.828
Ca 0.982 0.707 0.328
Cu 0.245 0.750 0.999
Cu 0.255 0.250 0.499
Cu 0.745 0.750 0.001
Cu 0.755 0.250 0.501
As 0.021 0.555 0.690
As 0.479 0.445 0.190
As 0.521 0.945 0.310
As 0.979 0.055 0.810
O 0.004 0.143 0.416
O 0.006 0.348 0.604
O 0.089 0.709 0.570
O 0.244 0.462 0.299
O 0.247 0.932 0.240
O 0.253 0.068 0.740
O 0.256 0.538 0.799
O 0.411 0.291 0.070
O 0.494 0.652 0.104
O 0.496 0.857 0.916
O 0.504 0.357 0.584
O 0.506 0.152 0.396
O 0.589 0.791 0.430
O 0.744 0.038 0.701
O 0.747 0.568 0.760
O 0.753 0.432 0.260
O 0.756 0.962 0.201
O 0.911 0.209 0.930
O 0.994 0.848 0.896
O 0.996 0.643 0.084

Output
Its uncorrected formation energy is -1.50 eV/atom.

=====

# 4
Below is an optimized crystal structure of CaCuAsO4, with properties calculated at the GGA-PBE level.

a = 6.348 Å, b = 6.348 Å, c = 6.348 Å
α = 124.25°, β = 104.35°, γ = 100.91°
Sites, in units of the cell vectors:
Ca 0.000 0.000 0.000
Ca 0.500 0.000 0.500
Cu 0.500 0.000 0.000
Cu 0.500 0.500 0.500
As 0.145 0.395 0.750
As 0.855 0.605 0.250
O 0.150 0.714 0.436
O 0.223 0.286 0.936
O 0.270 0.272 0.503
O 0.270 0.767 0.997
O 0.730 0.233 0.003
O 0.730 0.728 0.497
O 0.777 0.714 0.064
O 0.850 0.286 0.564

Output
Its uncorrected formation energy is -1.63 eV/atom.

=====

# 5
Below is an optimized crystal structure of CaCuAs2O6, with properties calculated at the GGA-PBE level.

a = 6.954 Å, b = 6.954 Å, c = 6.573 Å
α = 111.19°, β = 111.19°, γ = 76.72°
Sites, in units of the cell vectors:
Ca 0.140 0.860 0.750
Ca 0.860 0.140 0.250
Cu 0.250 0.750 0.250
Cu 0.750 0.250 0.750
As 0.243 0.352 0.797
As 0.352 0.243 0.297
As 0.648 0.757 0.703
As 0.757 0.648 0.203
O 0.041 0.198 0.670
O 0.157 0.608 0.928
O 0.198 0.041 0.170
O 0.262 0.413 0.535
O 0.392 0.843 0.572
O 0.413 0.262 0.035
O 0.587 0.738 0.965
O 0.608 0.157 0.428
O 0.738 0.587 0.465
O 0.802 0.959 0.830
O 0.843 0.392 0.072
O 0.959 0.802 0.330

Output
Its uncorrected formation energy is -1.42 eV/atom.

=====

# 6
Below is an optimized crystal structure of CaCuAs2O7, with properties calculated at the GGA-PBE level.

a = 7.338 Å, b = 9.059 Å, c = 9.454 Å
α = 90.00°, β = 109.24°, γ = 90.00°
Sites, in units of the cell vectors:
Ca 0.248 0.066 0.438
Ca 0.248 0.434 0.938
Ca 0.752 0.566 0.062
Ca 0.752 0.934 0.562
Cu 0.217 0.051 0.821
Cu 0.217 0.449 0.321
Cu 0.783 0.551 0.679
Cu 0.783 0.949 0.179
As 0.025 0.700 0.459
As 0.025 0.800 0.959
As 0.421 0.737 0.738
As 0.421 0.763 0.238
As 0.579 0.237 0.762
As 0.579 0.263 0.262
As 0.975 0.200 0.041
As 0.975 0.300 0.541
O 0.006 0.586 0.309
O 0.006 0.914 0.809
O 0.014 0.619 0.916
O 0.014 0.881 0.416
O 0.152 0.182 0.961
O 0.152 0.318 0.461
O 0.252 0.638 0.585
O 0.252 0.862 0.085
O 0.350 0.582 0.221
O 0.350 0.918 0.721
O 0.365 0.230 0.799
O 0.365 0.270 0.299
O 0.431 0.639 0.893
O 0.431 0.861 0.393
O 0.569 0.139 0.607
O 0.569 0.361 0.107
O 0.635 0.730 0.701
O 0.635 0.770 0.201
O 0.650 0.082 0.279
O 0.650 0.418 0.779
O 0.748 0.138 0.915
O 0.748 0.362 0.415
O 0.848 0.682 0.539
O 0.848 0.818 0.039
O 0.986 0.119 0.584
O 0.986 0.381 0.084
O 0.994 0.086 0.191
O 0.994 0.414 0.691

Output
Its uncorrected formation energy is -1.50 eV/atom.

=====

# 7
Below is an optimized crystal structure of Ca2CuAsOs, with properties calculated at the GGA-PBE level.

a = 5.409 Å, b = 5.409 Å, c = 4.239 Å
α = 90.00°, β = 90.00°, γ = 90.00°
Sites, in units of the cell vectors:
Ca 0.000 0.500 0.000
Ca 0.500 0.000 0.000
Cu 0.000 0.000 0.000
As 0.000 0.000 0.500
Os 0.500 0.500 0.500

Output
For the calculated formation energy, the calculation gives 14.75 kcal/mol of atoms.

=====

# 8
Below is an optimized crystal structure of Ca2Cu4AsP3, with properties calculated at the GGA-PBE level.

a = 4.060 Å, b = 4.060 Å, c = 10.009 Å
α = 90.00°, β = 90.00°, γ = 90.00°
Sites, in units of the cell vectors:
Ca 0.000 0.500 0.239
Ca 0.500 0.000 0.761
Cu 0.000 0.000 0.000
Cu 0.000 0.500 0.639
Cu 0.500 0.000 0.361
Cu 0.500 0.500 0.000
As 0.000 0.000 0.500
P 0.000 0.500 0.867
P 0.500 0.000 0.133
P 0.500 0.500 0.500

Output
For the calculated formation energy, the calculation gives -12.32 kcal/mol of atoms.

=====

# 9
Below is an optimized crystal structure of Ca4Pa3CuAs8, with properties calculated at the GGA-PBE level.

a = 8.294 Å, b = 8.294 Å, c = 8.294 Å
α = 60.18°, β = 60.18°, γ = 60.18°
Sites, in units of the cell vectors:
Ca 0.000 0.000 0.000
Ca 0.000 0.500 0.500
Ca 0.500 0.000 0.500
Ca 0.500 0.500 0.000
Pa 0.000 0.000 0.500
Pa 0.000 0.500 0.000
Pa 0.500 0.000 0.000
Cu 0.500 0.500 0.500
As 0.240 0.741 0.741
As 0.245 0.245 0.245
As 0.259 0.259 0.760
As 0.259 0.760 0.259
As 0.741 0.240 0.741
As 0.741 0.741 0.240
As 0.755 0.755 0.755
As 0.760 0.259 0.259

Output
For the calculated formation energy, the calculation gives -21.84 kcal/mol of atoms.

=====

# 10
Below is an optimized crystal structure of Ca3Pa2CuAs6, with properties calculated at the GGA-PBE level.

a = 7.115 Å, b = 7.115 Å, c = 7.243 Å
α = 99.31°, β = 99.31°, γ = 120.06°
Sites, in units of the cell vectors:
Ca 0.000 0.000 0.000
Ca 0.335 0.665 0.000
Ca 0.665 0.335 0.000
Pa 0.167 0.833 0.500
Pa 0.833 0.167 0.500
Cu 0.500 0.500 0.500
As 0.093 0.424 0.272
As 0.245 0.245 0.728
As 0.424 0.093 0.272
As 0.576 0.907 0.728
As 0.755 0.755 0.272
As 0.907 0.576 0.728

Output
For the calculated formation energy, the calculation gives -19.83 kcal/mol of atoms.

=====

# 11
Below is an optimized crystal structure of Ca2CuAs3Pd4, with properties calculated at the GGA-PBE level.

a = 4.332 Å, b = 4.332 Å, c = 10.140 Å
α = 90.00°, β = 90.00°, γ = 90.00°
Sites, in units of the cell vectors:
Ca 0.000 0.500 0.246
Ca 0.500 0.000 0.754
Cu 0.500 0.500 0.000
As 0.000 0.000 0.000
As 0.000 0.500 0.634
As 0.500 0.000 0.366
Pd 0.000 0.000 0.500
Pd 0.000 0.500 0.874
Pd 0.500 0.000 0.126
Pd 0.500 0.500 0.500

Output
For the calculated formation energy, the calculation gives -15.59 kcal/mol of atoms.

=====

# 12
Below is an optimized crystal structure of Ca2CuAs4Pd3, with properties calculated at the GGA-PBE level.

a = 4.263 Å, b = 4.263 Å, c = 10.623 Å
α = 90.00°, β = 90.00°, γ = 90.00°
Sites, in units of the cell vectors:
Ca 0.000 0.500 0.240
Ca 0.500 0.000 0.760
Cu 0.500 0.500 0.000
As 0.000 0.000 0.500
As 0.000 0.500 0.867
As 0.500 0.000 0.133
As 0.500 0.500 0.500
Pd 0.000 0.000 0.000
Pd 0.000 0.500 0.634
Pd 0.500 0.000 0.366

Output
For the calculated formation energy, the calculation gives -15.57 kcal/mol of atoms.